# 1
DFT (GGA-PBE) results for Pu8As3P4 after structural relaxation.

Results
ΔH_f (0 K) (meV per atom): -911
V (A^3/atom): 24.78
Mass density (kg/m3): 10277
Raw total energy (eV/atom): -10.9272

a = 8.0426 Å, b = 8.0689 Å, c = 8.0689 Å
α = 90.02°, β = 119.86°, γ = 119.86°
Last column: nearest neighbours and their distance in Å.
Fractional coordinates of all 15 atoms:
Pu (0.5000, 0.2468, 0.7532)  3 P 2.82-2.85, 3 As 2.85-2.89
P (0.0000, 0.0000, 0.0000)  6 Pu 2.84
P (0.5000, 0.0000, 0.0000)  6 Pu 2.80-2.82
Pu (0.4971, 0.2444, 0.2444)  2 P 2.80-2.84, 3 As 2.85-2.90
P (0.0000, 0.0000, 0.5000)  6 Pu 2.85
Pu (0.0000, 0.2489, 0.7511)  3 P 2.84-2.85, 2 As 2.85
As (0.5000, 0.5000, 0.5000)  6 Pu 2.89-2.90
Pu (0.5000, 0.7532, 0.2468)  3 P 2.82-2.85, 3 As 2.85-2.89
P (0.0000, 0.5000, 0.0000)  6 Pu 2.85
Pu (0.0080, 0.7549, 0.7549)  4 P 2.81-2.85, 1 As 2.90
Pu (0.0000, 0.7511, 0.2489)  3 P 2.84-2.85, 2 As 2.85
Pu (0.9920, 0.2451, 0.2451)  4 P 2.81-2.85, 1 As 2.90
Pu (0.5029, 0.7556, 0.7556)  2 P 2.80-2.84, 3 As 2.85-2.90
As (0.5000, 0.5000, 0.0000)  6 Pu 2.85
As (0.5000, 0.0000, 0.5000)  6 Pu 2.85

=====

# 2
DFT (GGA-PBE) results for PuAs2P after structural relaxation.

Results
ΔH_f (0 K) (meV per atom): -448
V (A^3/atom): 18.74
Mass density (kg/m3): 9408
Raw total energy (eV/atom): -7.7083

a = 4.4641 Å, b = 4.0983 Å, c = 4.0983 Å
α = 90.00°, β = 90.00°, γ = 90.00°
Last column: nearest neighbours and their distance in Å.
Fractional coordinates of all 4 atoms:
P (0.5000, 0.5000, 0.5000)  4 Pu 2.90, 8 As 3.03
Pu (0.5000, 0.0000, 0.0000)  4 P 2.90, 8 As 3.03
As (0.0000, 0.0000, 0.5000)  4 As 2.90, 4 P 3.03, 4 Pu 3.03
As (0.0000, 0.5000, 0.0000)  4 As 2.90, 4 P 3.03, 4 Pu 3.03

=====

# 3
DFT (GGA-PBE) results for Pu4AsP2 after structural relaxation.

Results
ΔH_f (0 K) (meV per atom): -1012
V (A^3/atom): 22.74
Mass density (kg/m3): 11607
Raw total energy (eV/atom): -11.4112

a = 7.4508 Å, b = 7.4508 Å, c = 7.4508 Å
α = 109.54°, β = 109.34°, γ = 109.54°
Last column: nearest neighbours and their distance in Å.
Fractional coordinates of all 14 atoms:
P (0.3750, 0.8780, 0.7530)  8 Pu 2.85-3.08
Pu (0.6165, 0.7473, 0.0153)  4 P 2.85-3.08, 2 As 2.91-3.11
As (0.0000, 0.0000, 0.0000)  8 Pu 2.91-3.11
P (0.5030, 0.3780, 0.6250)  8 Pu 2.85-3.08
P (0.2470, 0.6220, 0.1250)  8 Pu 2.85-3.08
Pu (0.6192, 0.7527, 0.5181)  4 P 2.85-3.08, 2 As 2.91-3.11
P (0.8750, 0.1220, 0.4970)  8 Pu 2.85-3.08
Pu (0.1335, 0.8988, 0.3808)  4 P 2.85-3.08, 2 As 2.91-3.11
Pu (0.2681, 0.2527, 0.8692)  4 P 2.85-3.08, 2 As 2.91-3.11
Pu (0.4819, 0.1012, 0.2347)  4 P 2.85-3.08, 2 As 2.91-3.11
Pu (0.1308, 0.3988, 0.3835)  4 P 2.85-3.08, 2 As 2.91-3.11
Pu (0.7653, 0.2473, 0.8665)  4 P 2.85-3.08, 2 As 2.91-3.11
As (0.7500, 0.5000, 0.2500)  8 Pu 2.91-3.11
Pu (0.9847, 0.6012, 0.7319)  4 P 2.85-3.08, 2 As 2.91-3.11

=====

# 4
DFT (GGA-PBE) results for Pu2AsP after structural relaxation.

Results
ΔH_f (0 K) (meV per atom): -1074
V (A^3/atom): 23.87
Mass density (kg/m3): 10330
Raw total energy (eV/atom): -10.7543

a = 5.7605 Å, b = 5.7605 Å, c = 7.0499 Å
α = 114.11°, β = 114.11°, γ = 90.00°
Last column: nearest neighbours and their distance in Å.
Fractional coordinates of all 8 atoms:
Pu (0.2452, 0.2452, 0.4904)  3 P 2.82-2.88, 3 As 2.88-2.93
P (0.0000, 0.0000, 0.0000)  6 Pu 2.82-2.88
Pu (0.7548, 0.7548, 0.5096)  3 P 2.82-2.88, 3 As 2.88-2.93
Pu (0.5048, 0.0048, 0.0096)  3 P 2.82-2.88, 3 As 2.88-2.93
As (0.5000, 0.5000, 0.0000)  6 Pu 2.88-2.93
As (0.2500, 0.7500, 0.5000)  6 Pu 2.88-2.93
Pu (0.9952, 0.4952, 0.9904)  3 P 2.82-2.88, 3 As 2.88-2.93
P (0.7500, 0.2500, 0.5000)  6 Pu 2.82-2.88

=====

# 5
DFT (GGA-PBE) results for Pu4AsP3 after structural relaxation.

Results
ΔH_f (0 K) (meV per atom): -1104
V (A^3/atom): 23.26
Mass density (kg/m3): 10205
Raw total energy (eV/atom): -10.8796

a = 5.7095 Å, b = 5.7095 Å, c = 5.7095 Å
α = 90.00°, β = 90.00°, γ = 90.00°
Last column: nearest neighbours and their distance in Å.
Fractional coordinates of all 8 atoms:
Pu (0.0000, 0.5000, 0.0000)  4 P 2.85, 2 As 2.85
Pu (0.5000, 0.5000, 0.5000)  6 P 2.85
As (0.0000, 0.0000, 0.0000)  6 Pu 2.85
Pu (0.0000, 0.0000, 0.5000)  4 P 2.85, 2 As 2.85
Pu (0.5000, 0.0000, 0.0000)  4 P 2.85, 2 As 2.85
P (0.5000, 0.0000, 0.5000)  6 Pu 2.85
P (0.0000, 0.5000, 0.5000)  6 Pu 2.85
P (0.5000, 0.5000, 0.0000)  6 Pu 2.85

=====

# 6
DFT (GGA-PBE) results for PuAsP2 after structural relaxation.

Results
Energy above the lowest structure with this stoichiometry (meV per atom): 0
ΔH_f (0 K) (meV per atom): -429
V (A^3/atom): 17.46
Mass density (kg/m3): 9055
Raw total energy (eV/atom): -7.8790

a = 3.9738 Å, b = 4.1925 Å, c = 4.1925 Å
α = 90.00°, β = 90.00°, γ = 90.00°
Last column: nearest neighbours and their distance in Å.
Fractional coordinates of all 4 atoms:
As (0.5000, 0.5000, 0.5000)  8 P 2.89, 4 Pu 2.96
P (0.0000, 0.5000, 0.0000)  4 As 2.89, 4 Pu 2.89, 4 P 2.96
P (0.0000, 0.0000, 0.5000)  4 As 2.89, 4 Pu 2.89, 4 P 2.96
Pu (0.5000, 0.0000, 0.0000)  8 P 2.89, 4 As 2.96